The following is a DFT calculation (PBE-GGA) of an optimized crystal structure of DyBr2.

Computed properties:
The value obtained for the formation energy without anion corrections is -1.433 eV/atom.

a = 6.6937 Å, b = 13.1178 Å, c = 7.7664 Å
α = 90.00°, β = 90.00°, γ = 90.00°
Space group Pbca (No. 61)
Symmetry-distinct sites (fractional):
Dy (0.1531, 0.0981, 0.0470) (multiplicity 8)
Br (0.0253, 0.0374, 0.7023) (multiplicity 8)
Br (0.2151, 0.7107, 0.3705) (multiplicity 8)

---

The following is a DFT calculation (PBE-GGA) of an optimized crystal structure of MgCr2Pb.

Computed properties:
The value obtained for the calculated formation energy is 0.476 eV/atom.

a = 3.1024 Å, b = 3.1024 Å, c = 27.5089 Å
α = 90.00°, β = 90.00°, γ = 120.00°
Space group R3m (No. 160, hexagonal axes)
Symmetry-distinct sites (fractional):
Mg (0.0000, 0.0000, 0.0000) (multiplicity 3)
Cr (0.0000, 0.0000, 0.2497) (multiplicity 3)
Cr (0.0000, 0.0000, 0.5288) (multiplicity 3)
Pb (0.0000, 0.0000, 0.7694) (multiplicity 3)

---

The following is a DFT calculation (PBE-GGA) of an optimized crystal structure of RbZnInI4.

Computed properties:
The value obtained for the formation energy without anion corrections is -0.815 eV/atom.

a = 7.9260 Å, b = 8.1700 Å, c = 10.0958 Å
α = 90.00°, β = 106.99°, γ = 90.00°
Space group P2_1/m (No. 11)
Symmetry-distinct sites (fractional):
Rb (0.2163, 0.2500, 0.0449) (multiplicity 2)
Zn (0.2197, 0.7500, 0.7846) (multiplicity 2)
In (0.2409, 0.2500, 0.5471) (multiplicity 2)
I (0.0036, 0.5024, 0.2826) (multiplicity 4)
I (0.3649, 0.7500, 0.0533) (multiplicity 2)
I (0.4282, 0.7500, 0.6254) (multiplicity 2)

---

Magnetic moment for the records above, in order: 8.00 0.77 0.00 Bohr magnetons per cell